w | {"formula": "Cr2CuRe", "functional": "GGA-PBE", "state": "optimized geometry", "lattice": [[2.515, 0.000, 0.000], [0.000, 4.165, 0.000], [-0.932, 0.000, 4.871]], "species": ["Cr", "Cr", "Cu", "Re"], "fractional_positions": [[0.225, 0.000, 0.242], [0.775, 0.000, 0.758], [0.500, 0.500, 0.000], [0.000, 0.500, 0.500]], "sg": "P2/m, No. 10", "dos_at_fermi_per_ev_fu": 3.12, "m_tot_mub_per_cell": 0.000}

=====

x | {"formula": "Cr2CuRe", "functional": "GGA-PBE", "state": "optimized geometry", "lattice": [[0.000, 2.958, 2.958], [2.958, 0.000, 2.958], [2.958, 2.958, 0.000]], "species": ["Cr", "Cr", "Cu", "Re"], "fractional_positions": [[0.000, 0.000, 0.000], [0.250, 0.250, 0.250], [0.500, 0.500, 0.500], [0.750, 0.750, 0.750]], "sg": "F-43m, No. 216", "dos_at_fermi_per_ev_fu": 2.91, "m_tot_mub_per_cell": 1.837}

=====

y | {"formula": "Cr2CuRe", "functional": "GGA-PBE", "state": "optimized geometry", "lattice": [[1.493, -2.077, 0.000], [1.493, 2.077, 0.000], [0.000, 0.000, 8.277]], "species": ["Cr", "Cr", "Cu", "Re"], "fractional_positions": [[0.000, 0.000, 0.000], [0.500, 0.500, 0.227], [0.500, 0.500, 0.750], [0.000, 0.000, 0.482]], "sg": "Cmm2, No. 35", "dos_at_fermi_per_ev_fu": 3.58, "m_tot_mub_per_cell": 0.000}

=====

z | {"formula": "Cr2CuRe", "functional": "GGA-PBE", "state": "optimized geometry", "lattice": [[-3.326, 3.326, 2.531], [3.326, -3.326, 2.531], [3.326, 3.326, -2.531]], "species": ["Cr", "Cr", "Cr", "Cr", "Cu", "Cu", "Re", "Re"], "fractional_positions": [[0.111, 0.125, 0.486], [0.375, 0.889, 0.014], [0.639, 0.625, 0.514], [0.875, 0.361, 0.986], [0.250, 0.750, 0.500], [0.500, 0.500, 0.000], [0.000, 0.000, 0.000], [0.750, 0.250, 0.500]], "sg": "I-42d, No. 122", "dos_at_fermi_per_ev_fu": 5.02, "m_tot_mub_per_cell": 1.771}

=====

The most stable arrangement is y, and the next structure is 25 meV per atom less stable.